First-principles (PBE) data for TeBr after structural relaxation, as listed in Alexandria.

Lattice parameters (Å, degrees): 4.1321 10.5816 13.6426 90.00 90.00 90.00
Fractional coordinates of all 16 atoms:
Br (0.7504, 0.3048, 0.8280)
Br (0.7496, 0.8048, 0.1720)
Br (0.7504, 0.8603, 0.4482)
Br (0.2504, 0.1397, 0.0518)
Br (0.2496, 0.1952, 0.3280)
Br (0.7496, 0.3603, 0.5518)
Br (0.2496, 0.6397, 0.9482)
Br (0.2504, 0.6952, 0.6720)
Te (0.7505, 0.9129, 0.8722)
Te (0.2506, 0.1104, 0.8560)
Te (0.2505, 0.0871, 0.6278)
Te (0.2495, 0.5871, 0.3722)
Te (0.7494, 0.3896, 0.3560)
Te (0.7506, 0.8896, 0.6440)
Te (0.2494, 0.6104, 0.1440)
Te (0.7495, 0.4129, 0.1278)

The space group is Pnma. Its magnetic moment is 0.00 μB/f.u. Its calculated volume is 37.3 Å³/atom. Its raw formation energy is -0.20 eV per atom.